Record 1
Below is a relaxed LiZnAsO4 crystal, with properties calculated at the PBE level.

Unit cell a=14.3320 b=14.3320 c=9.5416 alpha=90.00 beta=90.00 gamma=120.00
Last column: nearest neighbours and their distance in Å.
Space group R3 (No. 146, hexagonal axes)
One atom of each set of equivalent atoms:
Li: 0.0210 0.8083 0.0000 x9  4 O 1.95-2.01
Li: 0.1410 0.4581 0.1651 x9  4 O 1.96-1.97
Zn: 0.0163 0.8075 0.6676 x9  4 O 1.96-1.99
Zn: 0.1415 0.4535 0.8338 x9  4 O 1.97-2.00
As: 0.0163 0.8043 0.3329 x9  4 O 1.72
As: 0.1361 0.4555 0.4991 x9  4 O 1.72-1.73
O: 0.0021 0.6775 0.3305 x9  1 As 1.72
O: 0.0111 0.3408 0.5008 x9  1 As 1.72
O: 0.0805 0.8722 0.4838 x9  1 As 1.72
O: 0.0836 0.8747 0.1850 x9  1 As 1.72
O: 0.1019 0.8847 0.8328 x9  1 As 1.73
O: 0.2048 0.4602 0.3493 x9  1 As 1.72
O: 0.2066 0.0808 0.9806 x9  1 As 1.73
O: 0.2134 0.1016 0.3342 x9  1 As 1.72

Properties
The value obtained for the energy relative to the lowest polymorph listed for this composition is 0 meV/atom. The density of states at the Fermi level is 0.00 states/eV/atom. The magnetic moment comes out at 0.0 μB/f.u.

Record 2
Below is a relaxed LiZr2AsO crystal, with properties calculated at the PBE level.

Unit cell a=4.5077 b=4.5077 c=3.7300 alpha=90.00 beta=90.00 gamma=90.00
Last column: nearest neighbours and their distance in Å.
Space group P4/mmm (No. 123)
One atom of each set of equivalent atoms:
Li: 0.0000 0.0000 0.0000 x1  2 O 1.86
Zr: 0.0000 0.5000 0.5000 x2  2 O 2.25
As: 0.5000 0.5000 0.0000 x1  8 Zr 2.93, 4 Li 3.19
O: 0.0000 0.0000 0.5000 x1  2 Li 1.86

Properties
The density of states at the Fermi level is 0.62 states/eV/atom. The magnetic moment comes out at 0.0 μB/f.u. The uncorrected energy comes out at -7.07 eV per atom.

Record 3
Below is a relaxed LiZrAsO5 crystal, with properties calculated at the PBE level.

Unit cell a=6.7040 b=8.8788 c=6.8524 alpha=90.00 beta=112.82 gamma=90.00
Last column: nearest neighbours and their distance in Å.
Space group C2/c (No. 15)
One atom of each set of equivalent atoms:
Li: 0.0000 0.0000 0.0000 x4  4 O 1.93-2.12
Zr: 0.0000 0.3043 0.2500 x4  1 O 1.82
As: 0.0000 0.3431 0.7500 x4  4 O 1.71-1.75
O: 0.0000 0.0992 0.2500 x4  1 Zr 1.82, 2 Li 1.93
O: 0.1249 0.2292 0.6231 x8  1 As 1.75
O: 0.1703 0.4584 0.9420 x8  1 As 1.71

Properties
The density of states at the Fermi level is 0.00 states/eV/atom. The magnetic moment comes out at 0.0 μB/f.u. The uncorrected energy comes out at -6.97 eV per atom.

Record 4
Below is a relaxed LiZr2As3O12 crystal, with properties calculated at the PBE level.

Unit cell a=9.3277 b=9.3277 c=22.5531 alpha=90.00 beta=90.00 gamma=120.00
Last column: nearest neighbours and their distance in Å.
Space group R-3c (No. 167, hexagonal axes)
One atom of each set of equivalent atoms:
Li: 0.0000 0.0000 0.0000 x6  6 O 2.36
Zr: 0.0000 0.0000 0.1407 x12  6 O 2.06-2.15
As: 0.0000 0.2946 0.2500 x18  4 O 1.71
O: 0.0027 0.1893 0.3115 x36  1 As 1.71
O: 0.0186 0.1799 0.9228 x36  1 As 1.71

Properties
The value obtained for the energy relative to the lowest polymorph listed for this composition is 15 meV/atom. The density of states at the Fermi level is 0.00 states/eV/atom. The magnetic moment comes out at 0.0 μB/f.u.

Record 5
Below is a relaxed LiZr2As3O12 crystal, with properties calculated at the PBE level.

Unit cell a=9.3035 b=9.3579 c=15.9028 alpha=90.00 beta=125.07 gamma=90.00
Last column: nearest neighbours and their distance in Å.
Space group P2_1/c (No. 14)
One atom of each set of equivalent atoms:
Li: 0.0236 0.2245 0.3171 x4  4 O 2.01-2.06
Zr: 0.1420 0.5410 0.3886 x4  6 O 2.03-2.16
Zr: 0.3722 0.5234 0.1214 x4  6 O 2.07-2.13
As: 0.0315 0.1013 0.6442 x4  4 O 1.70-1.73
As: 0.2452 0.6246 0.6465 x4  4 O 1.70-1.72
As: 0.4566 0.2483 0.9879 x4  4 O 1.70-1.73
O: 0.0029 0.7364 0.3184 x4  1 As 1.73
O: 0.0669 0.5259 0.2327 x4  1 As 1.72
O: 0.0804 0.5952 0.6631 x4  1 As 1.72
O: 0.1547 0.5492 0.9683 x4  1 As 1.70
O: 0.1683 0.5826 0.5221 x4  1 As 1.72
O: 0.2072 0.1136 0.6379 x4  1 As 1.70
O: 0.2523 0.1683 0.9179 x4  1 As 1.73
O: 0.2883 0.6973 0.1675 x4  1 As 1.70
O: 0.3824 0.6246 0.4403 x4  1 As 1.71
O: 0.4200 0.5179 0.7262 x4  1 As 1.70
O: 0.4616 0.1370 0.5723 x4  1 As 1.70
O: 0.4844 0.1724 0.4021 x4  1 As 1.70

Properties
The value obtained for the energy relative to the lowest polymorph listed for this composition is 0 meV/atom. The density of states at the Fermi level is 0.00 states/eV/atom. The magnetic moment comes out at 0.0 μB/f.u.

Record 6
Below is a relaxed LiAs3Os crystal, with properties calculated at the PBE level.

Unit cell a=4.8757 b=4.8757 c=4.8757 alpha=90.00 beta=90.00 gamma=90.00
Last column: nearest neighbours and their distance in Å.
Space group Pm-3m (No. 221)
One atom of each set of equivalent atoms:
Li: 0.0000 0.0000 0.0000 x1  12 As 3.45
As: 0.0000 0.5000 0.5000 x3  2 Os 2.44
Os: 0.5000 0.5000 0.5000 x1  6 As 2.44

Properties
The value obtained for the formation energy is 508 meV per atom. The value obtained for the energy relative to the lowest polymorph listed for this composition is 0 meV/atom. The density of states at the Fermi level is 1.12 states/eV/atom. The magnetic moment comes out at 0.3 μB/f.u.